[1]
Nd4HgIr | GGA-PBE | relaxed

Values from the calculation:
Formation energy, eV/atom: -0.49
Spin magnetization, μB/cell: 0.0
VASP energy, Ry per atom: -0.3816
Polymorph energy (0 for the lowest one), meV per atom: 0
N(E_F), states/eV/cell: 18.075
Theoretical density, g/cm3: 9.312

Unit cell a=9.927 b=9.927 c=9.927 alpha=60.00 beta=60.00 gamma=60.00
Fractional coordinates of all 24 atoms:
Nd 0.400 0.400 0.400
Nd 0.799 0.400 0.400
Nd 0.400 0.799 0.400
Nd 0.400 0.400 0.799
Nd 0.559 0.559 0.941
Nd 0.941 0.941 0.559
Nd 0.559 0.941 0.559
Nd 0.941 0.559 0.941
Nd 0.941 0.559 0.559
Nd 0.559 0.941 0.941
Nd 0.189 0.189 0.811
Nd 0.811 0.811 0.189
Nd 0.189 0.811 0.189
Nd 0.811 0.189 0.811
Nd 0.811 0.189 0.189
Nd 0.189 0.811 0.811
Hg 0.166 0.166 0.166
Hg 0.501 0.166 0.166
Hg 0.166 0.501 0.166
Hg 0.166 0.166 0.501
Ir 0.608 0.608 0.608
Ir 0.175 0.608 0.608
Ir 0.608 0.175 0.608
Ir 0.608 0.608 0.175

=====

[2]
Sc4AlRu2 | GGA-PBE | relaxed

Values from the calculation:
Formation energy, eV/atom: -0.45
Spin magnetization, μB/cell: 0.0
VASP energy, Ry per atom: -0.5329
N(E_F), states/eV/cell: 2.901
Theoretical density, g/cm3: 5.039

Unit cell a=4.541 b=4.541 c=6.535 alpha=90.00 beta=90.00 gamma=90.00
Fractional coordinates of all 7 atoms:
Sc 0.500 0.000 0.259
Sc 0.000 0.500 0.741
Sc 0.500 0.000 0.741
Sc 0.000 0.500 0.259
Ru 0.000 0.000 0.000
Ru 0.500 0.500 0.500
Al 0.500 0.500 0.000

=====

[3]
SiTeCl2 | GGA-PBE | relaxed

Values from the calculation:
Spin magnetization, μB/cell: 0.0
Energy relative to the elements, uncorrected, eV/atom: 0.504
VASP energy, Ry per atom: -0.1882
Polymorph energy (0 for the lowest one), meV per atom: 826
N(E_F), states/eV/cell: 6.224
Theoretical density, g/cm3: 4.113

Unit cell a=5.058 b=5.058 c=5.058 alpha=60.00 beta=60.00 gamma=60.00
Fractional coordinates of all 4 atoms:
Si 0.000 0.000 0.000
Te 0.500 0.500 0.500
Cl 0.250 0.250 0.250
Cl 0.750 0.750 0.750

=====

[4]
MnSbTe2 | GGA-PBE | relaxed

Values from the calculation:
Spin magnetization, μB/cell: 4.6
Energy relative to the elements, uncorrected, eV/atom: 0.339
VASP energy, Ry per atom: -0.3348
N(E_F), states/eV/cell: 2.852
Theoretical density, g/cm3: 5.993

Unit cell a=7.592 b=7.592 c=7.592 alpha=148.42 beta=148.42 gamma=45.27
Each line ends with the local moment (μB).
Fractional coordinates of all 4 atoms:
Mn 0.500 0.500 0.000  4.27
Sb 0.750 0.250 0.500  -0.03
Te 0.000 0.000 0.000  -0.03
Te 0.250 0.750 0.500  0.02

=====

[5]
Mg3Hg5 | GGA-PBE | relaxed

Values from the calculation:
Formation energy, eV/atom: -0.14
Spin magnetization, μB/cell: 0.0
VASP energy, Ry per atom: -0.0680
Polymorph energy (0 for the lowest one), meV per atom: 5
N(E_F), states/eV/cell: 1.604
Theoretical density, g/cm3: 9.954

Unit cell a=6.271 b=6.271 c=4.603 alpha=90.00 beta=90.00 gamma=97.55
Fractional coordinates of all 8 atoms:
Hg 0.000 0.000 0.000
Hg 0.000 0.500 0.000
Hg 0.500 0.000 0.000
Hg 0.278 0.278 0.500
Hg 0.722 0.722 0.500
Mg 0.500 0.500 0.000
Mg 0.771 0.229 0.500
Mg 0.229 0.771 0.500

=====

[6]
DyCo2B4 | GGA-PBE | relaxed

Values from the calculation:
Formation energy, eV/atom: -0.34
Spin magnetization, μB/cell: 0.0
VASP energy, Ry per atom: -0.5032
N(E_F), states/eV/cell: 5.038
Theoretical density, g/cm3: 7.798

Unit cell a=3.084 b=3.259 c=7.212 alpha=103.06 beta=102.35 gamma=90.00
Fractional coordinates of all 7 atoms:
B 0.659 0.659 0.317
B 0.341 0.341 0.683
B 0.106 0.606 0.211
B 0.894 0.394 0.789
Co 0.807 0.807 0.613
Co 0.193 0.193 0.387
Dy 0.500 0.000 0.000

=====

[7]
La4NdSe5 | GGA-PBE | relaxed

Values from the calculation:
Spin magnetization, μB/cell: 0.0
Energy relative to the elements, uncorrected, eV/atom: -1.966
VASP energy, Ry per atom: -0.4525
N(E_F), states/eV/cell: 6.923
Theoretical density, g/cm3: 6.478

Unit cell a=4.296 b=6.077 c=11.374 alpha=105.49 beta=100.89 gamma=90.00
Fractional coordinates of all 10 atoms:
La 0.400 0.400 0.801
La 0.801 0.801 0.601
La 0.199 0.199 0.399
La 0.600 0.600 0.199
Nd 0.000 0.000 0.000
Se 0.598 0.098 0.196
Se 0.800 0.300 0.600
Se 0.200 0.700 0.400
Se 0.000 0.500 0.000
Se 0.402 0.902 0.804

=====

[8]
V4CrGe2 | GGA-PBE | relaxed

Values from the calculation:
Formation energy, eV/atom: 0.55
Spin magnetization, μB/cell: 1.9
VASP energy, Ry per atom: -0.5406
N(E_F), states/eV/cell: 6.906
Theoretical density, g/cm3: 5.794

Unit cell a=4.186 b=4.186 c=7.198 alpha=73.10 beta=73.10 gamma=90.00
Each line ends with the local moment (μB).
Fractional coordinates of all 7 atoms:
Cr 0.000 0.000 0.000  -0.22
Ge 0.364 0.364 0.271  -0.05
Ge 0.636 0.636 0.729  -0.05
V 0.173 0.173 0.655  1.20
V 0.827 0.827 0.345  1.20
V 0.000 0.500 0.000  -0.23
V 0.500 0.000 0.000  -0.23

=====

[9]
RbReOs2 | GGA-PBE | relaxed

Values from the calculation:
Formation energy, eV/atom: 1.95
Spin magnetization, μB/cell: 0.0
VASP energy, Ry per atom: -0.5159
Polymorph energy (0 for the lowest one), meV per atom: 200
N(E_F), states/eV/cell: 2.113
Theoretical density, g/cm3: 15.711

Unit cell a=4.602 b=4.602 c=4.602 alpha=60.00 beta=60.00 gamma=60.00
Fractional coordinates of all 4 atoms:
Re 0.500 0.500 0.500
Os 0.250 0.250 0.250
Os 0.750 0.750 0.750
Rb 0.000 0.000 0.000

=====

[10]
Ca2CeYSb4 | GGA-PBE | relaxed

Values from the calculation:
Spin magnetization, μB/cell: 0.0
Energy relative to the elements, uncorrected, eV/atom: -0.961
VASP energy, Ry per atom: -0.3728
N(E_F), states/eV/cell: 6.775
Theoretical density, g/cm3: 5.183

Unit cell a=4.504 b=7.760 c=7.753 alpha=109.71 beta=90.00 gamma=90.00
Fractional coordinates of all 8 atoms:
Ca 0.500 0.000 0.500
Ca 0.000 0.500 0.500
Ce 0.000 0.000 0.000
Y 0.500 0.500 0.000
Sb 0.500 0.247 0.238
Sb 0.500 0.753 0.762
Sb 0.000 0.255 0.762
Sb 0.000 0.745 0.238

=====

[11]
Dy12Y7Tm | GGA-PBE | relaxed

Values from the calculation:
Formation energy, eV/atom: 0.30
Spin magnetization, μB/cell: 0.0
VASP energy, Ry per atom: -0.3636
Polymorph energy (0 for the lowest one), meV per atom: 0
N(E_F), states/eV/cell: 18.913
Theoretical density, g/cm3: 7.037

Unit cell a=8.683 b=8.683 c=8.683 alpha=94.94 beta=94.94 gamma=94.94
Fractional coordinates of all 20 atoms:
Dy 0.812 0.250 0.682
Dy 0.750 0.318 0.188
Dy 0.478 0.146 0.414
Dy 0.854 0.586 0.522
Dy 0.318 0.188 0.750
Dy 0.586 0.522 0.854
Dy 0.414 0.478 0.146
Dy 0.682 0.812 0.250
Dy 0.146 0.414 0.478
Dy 0.522 0.854 0.586
Dy 0.250 0.682 0.812
Dy 0.188 0.750 0.318
Y 0.918 0.651 0.984
Y 0.349 0.016 0.082
Y 0.016 0.082 0.349
Y 0.500 0.500 0.500
Y 0.984 0.918 0.651
Y 0.651 0.984 0.918
Y 0.082 0.349 0.016
Tm 0.000 0.000 0.000

=====

[12]
UPaNiPd | GGA-PBE | relaxed

Values from the calculation:
Formation energy, eV/atom: -0.34
Spin magnetization, μB/cell: 3.0
VASP energy, Ry per atom: -0.6085
N(E_F), states/eV/cell: 5.757
Theoretical density, g/cm3: 14.707

Unit cell a=4.661 b=4.661 c=4.661 alpha=60.00 beta=60.00 gamma=60.00
Each line ends with the local moment (μB).
Fractional coordinates of all 4 atoms:
Ni 0.000 0.000 0.000  -0.04
Pa 0.750 0.750 0.750  0.97
U 0.500 0.500 0.500  2.08
Pd 0.250 0.250 0.250  -0.03

=====

[13]
NaNiBi2 | GGA-PBE | relaxed

Values from the calculation:
Formation energy, eV/atom: -0.02
Spin magnetization, μB/cell: 0.0
VASP energy, Ry per atom: -0.2742
Polymorph energy (0 for the lowest one), meV per atom: 99
N(E_F), states/eV/cell: 1.925
Theoretical density, g/cm3: 8.465

Unit cell a=3.384 b=3.384 c=8.560 alpha=90.00 beta=90.00 gamma=90.00
Fractional coordinates of all 4 atoms:
Ni 0.500 0.500 0.000
Bi 0.000 0.000 0.804
Bi 0.000 0.000 0.196
Na 0.500 0.500 0.500

=====

[14]
TlPdSe2N | GGA-PBE | relaxed

Values from the calculation:
Spin magnetization, μB/cell: 0.0
Energy relative to the elements, uncorrected, eV/atom: 0.532
VASP energy, Ry per atom: -0.2968
Polymorph energy (0 for the lowest one), meV per atom: 0
N(E_F), states/eV/cell: 4.627
Theoretical density, g/cm3: 7.449

Unit cell a=5.384 b=5.384 c=3.712 alpha=90.00 beta=90.00 gamma=90.00
Fractional coordinates of all 5 atoms:
Tl 0.500 0.500 0.500
Se 0.000 0.500 0.000
Se 0.500 0.000 0.000
Pd 0.000 0.000 0.000
N 0.000 0.000 0.500

=====

[15]
ScTlAs2Br | GGA-PBE | relaxed

Values from the calculation:
Spin magnetization, μB/cell: 0.0
Energy relative to the elements, uncorrected, eV/atom: -0.317
VASP energy, Ry per atom: -0.3124
Polymorph energy (0 for the lowest one), meV per atom: 0
N(E_F), states/eV/cell: 4.483
Theoretical density, g/cm3: 5.367

Unit cell a=5.192 b=5.192 c=5.498 alpha=90.00 beta=90.00 gamma=90.00
Fractional coordinates of all 5 atoms:
Sc 0.000 0.000 0.000
Tl 0.500 0.500 0.500
As 0.000 0.500 0.000
As 0.500 0.000 0.000
Br 0.000 0.000 0.500

=====

[16]
Sr2ZrVRh | GGA-PBE | relaxed

Values from the calculation:
Formation energy, eV/atom: 1.42
Spin magnetization, μB/cell: 0.8
VASP energy, Ry per atom: -0.3132
N(E_F), states/eV/cell: 9.341
Theoretical density, g/cm3: 4.364

Unit cell a=5.989 b=4.458 c=5.989 alpha=90.00 beta=90.00 gamma=90.00
Each line ends with the local moment (μB).
Fractional coordinates of all 5 atoms:
Sr 0.000 0.000 0.500  0.01
Sr 0.500 0.000 0.000  0.00
Rh 0.500 0.500 0.500  0.72
Zr 0.000 0.000 0.000  0.30
V 0.000 0.500 0.000  -0.22

=====

[17]
Hf2MnZnRh | GGA-PBE | relaxed

Values from the calculation:
Formation energy, eV/atom: 0.81
Spin magnetization, μB/cell: 2.5
VASP energy, Ry per atom: -0.4946
N(E_F), states/eV/cell: 5.573
Theoretical density, g/cm3: 9.424

Unit cell a=4.878 b=4.297 c=4.878 alpha=90.00 beta=90.00 gamma=90.00
Each line ends with the local moment (μB).
Fractional coordinates of all 5 atoms:
Rh 0.500 0.500 0.500  0.11
Zn 0.000 0.000 0.000  -0.08
Mn 0.000 0.500 0.000  3.28
Hf 0.000 0.000 0.500  -0.28
Hf 0.500 0.000 0.000  -0.31

=====

[18]
HfC | GGA-PBE | relaxed

Values from the calculation:
Formation energy, eV/atom: -0.09
Spin magnetization, μB/cell: 0.0
VASP energy, Ry per atom: -0.7111
Polymorph energy (0 for the lowest one), meV per atom: 857
Theoretical density, g/cm3: 7.771

Unit cell a=6.880 b=6.880 c=6.880 alpha=90.00 beta=90.00 gamma=90.00
Fractional coordinates of all 16 atoms:
Hf 0.340 0.340 0.340
Hf 0.340 0.660 0.660
Hf 0.660 0.340 0.660
Hf 0.660 0.660 0.340
Hf 0.840 0.840 0.840
Hf 0.840 0.160 0.160
Hf 0.160 0.840 0.160
Hf 0.160 0.160 0.840
C 0.156 0.156 0.156
C 0.156 0.844 0.844
C 0.844 0.156 0.844
C 0.844 0.844 0.156
C 0.656 0.656 0.656
C 0.656 0.344 0.344
C 0.344 0.656 0.344
C 0.344 0.344 0.656

=====

[19]
Y2TcRu | GGA-PBE | relaxed

Values from the calculation:
Formation energy, eV/atom: -0.11
Spin magnetization, μB/cell: 0.0
VASP energy, Ry per atom: -0.6063
N(E_F), states/eV/cell: 3.351
Theoretical density, g/cm3: 6.635

Unit cell a=4.148 b=4.440 c=5.582 alpha=66.58 beta=90.00 gamma=90.00
Fractional coordinates of all 4 atoms:
Ru 0.000 0.680 0.513
Tc 0.500 0.570 0.735
Y 0.000 0.979 0.917
Y 0.500 0.270 0.334

=====

[20]
B2RhBr2 | GGA-PBE | relaxed

Values from the calculation:
Spin magnetization, μB/cell: 0.0
Energy relative to the elements, uncorrected, eV/atom: 1.097
VASP energy, Ry per atom: -0.2730
Polymorph energy (0 for the lowest one), meV per atom: 92
N(E_F), states/eV/cell: 5.023
Theoretical density, g/cm3: 6.250

Unit cell a=4.948 b=4.948 c=4.665 alpha=57.97 beta=57.97 gamma=90.00
Fractional coordinates of all 5 atoms:
B 0.361 0.361 0.277
B 0.639 0.639 0.723
Rh 0.000 0.000 0.000
Br 0.750 0.250 0.500
Br 0.250 0.750 0.500